Record 1
Dy5TePb4, optimized geometry, DFT PBE; electronic total energy = -46.843 eV/f.u.; SG = Immm; DOS at the Fermi energy = 7.826 states/eV per cell; formation energy from raw total energies = -586 meV/atom; ΔE to the lowest computed polymorph = 0.2 kJ per mole of atoms
1.0
-1.960 3.147 12.349
1.960 -3.147 12.349
1.960 3.147 -12.349
Dy Te Pb
5 1 4
Direct
0.000 0.000 0.000
0.200 0.200 0.000
0.403 0.403 0.000
0.597 0.597 0.000
0.800 0.800 0.000
0.500 0.000 0.500
0.099 0.599 0.500
0.302 0.802 0.500
0.698 0.198 0.500
0.901 0.401 0.500

---

Record 2
Dy5Te2Pb2, optimized geometry, DFT PBE; electronic total energy = -44.264 eV/f.u.; SG = Cmce; DOS at the Fermi energy = 17.663 states/eV per cell; formation energy from raw total energies = -839 meV/atom; ΔE to the lowest computed polymorph = 0.0 kJ per mole of atoms
1.0
7.734 -4.072 0.000
7.734 4.072 0.000
0.000 0.000 8.208
Dy Te Pb
10 4 4
Direct
0.000 0.000 0.000
0.027 0.700 0.661
0.200 0.527 0.161
0.300 0.973 0.661
0.473 0.800 0.161
0.500 0.500 0.500
0.527 0.200 0.839
0.700 0.027 0.339
0.800 0.473 0.839
0.973 0.300 0.339
0.201 0.201 0.000
0.299 0.299 0.500
0.701 0.701 0.500
0.799 0.799 0.000
0.142 0.858 0.360
0.358 0.642 0.860
0.642 0.358 0.140
0.858 0.142 0.640

---

Record 3
Dy4TePb3, optimized geometry, DFT PBE; electronic total energy = -37.862 eV/f.u.; SG = C2/m; DOS at the Fermi energy = 4.568 states/eV per cell; formation energy from raw total energies = -648 meV/atom
1.0
6.267 -4.697 0.000
6.267 4.697 0.000
-0.016 0.000 4.159
Dy Te Pb
4 1 3
Direct
0.248 0.752 0.000
0.250 0.250 0.500
0.750 0.750 0.500
0.752 0.248 0.000
0.000 0.000 0.500
0.000 0.500 0.000
0.500 0.000 0.000
0.500 0.500 0.500

---

Record 4
Dy4Te5Pb2, optimized geometry, DFT PBE; electronic total energy = -50.526 eV/f.u.; SG = C2/m; DOS at the Fermi energy = 6.370 states/eV per cell; formation energy from raw total energies = -817 meV/atom
1.0
11.661 -2.029 0.000
11.661 2.029 0.000
-1.324 0.000 8.064
Dy Te Pb
4 5 2
Direct
0.030 0.030 0.265
0.326 0.326 0.515
0.674 0.674 0.485
0.970 0.970 0.735
0.090 0.090 0.625
0.154 0.154 0.198
0.500 0.500 0.000
0.846 0.846 0.802
0.910 0.910 0.375
0.233 0.233 0.824
0.767 0.767 0.176